Record 1
An optimized crystal structure of HgPd2N, computed with GGA-PBE.

Summary:
- E_form (uncorrected): 1118 meV/atom
- VASP energy: -14.5 eV/cell
- Energy above the most stable polymorph in this dataset: 15.11 kcal/mol of atoms

CIF file:
```
data_HgPd2N
_symmetry_space_group_name_H-M 'P 1'
_symmetry_Int_Tables_number 1
_symmetry_space_group_name_Hall 'P 1'
_cell_length_a 4.436
_cell_length_b 4.436
_cell_length_c 4.436
_cell_angle_alpha 60.00
_cell_angle_beta 60.00
_cell_angle_gamma 60.00
loop_
_atom_site_label
_atom_site_fract_x
_atom_site_fract_y
_atom_site_fract_z
Hg1 0.500 0.500 0.500
Pd1 0.250 0.250 0.250
Pd2 0.750 0.750 0.750
N1 0.000 0.000 0.000
```

Record 2
An optimized crystal structure of AsOsN2, computed with GGA-PBE.

Summary:
- E_form (uncorrected): 693 meV/atom
- VASP energy: -29.8 eV/cell

CIF file:
```
data_AsOsN2
_symmetry_space_group_name_H-M 'P 1'
_symmetry_Int_Tables_number 1
_symmetry_space_group_name_Hall 'P 1'
_cell_length_a 6.794
_cell_length_b 6.794
_cell_length_c 6.794
_cell_angle_alpha 24.95
_cell_angle_beta 24.95
_cell_angle_gamma 24.95
loop_
_atom_site_label
_atom_site_fract_x
_atom_site_fract_y
_atom_site_fract_z
As1 0.000 0.000 0.000
Os1 0.500 0.500 0.500
N1 0.894 0.894 0.894
N2 0.106 0.106 0.106
```

Record 3
An optimized crystal structure of CaGa2HgF8, computed with GGA-PBE.

Summary:
- E_form (uncorrected): -2649 meV/atom
- VASP energy: -55.1 eV/cell

CIF file:
```
data_CaGa2HgF8
_symmetry_space_group_name_H-M 'P 1'
_symmetry_Int_Tables_number 1
_symmetry_space_group_name_Hall 'P 1'
_cell_length_a 6.171
_cell_length_b 6.171
_cell_length_c 7.919
_cell_angle_alpha 90.00
_cell_angle_beta 90.00
_cell_angle_gamma 120.00
loop_
_atom_site_label
_atom_site_fract_x
_atom_site_fract_y
_atom_site_fract_z
Ca1 0.000 0.000 0.000
Ga1 0.333 0.667 0.748
Ga2 0.667 0.333 0.252
Hg1 0.000 0.000 0.500
F1 0.179 0.358 0.844
F2 0.179 0.821 0.844
F3 0.642 0.821 0.844
F4 0.358 0.179 0.156
F5 0.667 0.333 0.474
F6 0.333 0.667 0.526
F7 0.821 0.642 0.156
F8 0.821 0.179 0.156
```

Record 4
An optimized crystal structure of Hf6GeSb3, computed with GGA-PBE.

Summary:
- E_form (uncorrected): -296 meV/atom
- VASP energy: -159.3 eV/cell

CIF file:
```
data_Hf6GeSb3
_symmetry_space_group_name_H-M 'P 1'
_symmetry_Int_Tables_number 1
_symmetry_space_group_name_Hall 'P 1'
_cell_length_a 6.688
_cell_length_b 7.666
_cell_length_c 8.914
_cell_angle_alpha 90.00
_cell_angle_beta 89.94
_cell_angle_gamma 90.00
loop_
_atom_site_label
_atom_site_fract_x
_atom_site_fract_y
_atom_site_fract_z
Hf1 0.644 0.151 0.951
Hf2 0.630 0.181 0.559
Hf3 0.732 0.426 0.259
Hf4 0.268 0.574 0.741
Hf5 0.370 0.819 0.441
Hf6 0.356 0.849 0.049
Hf7 0.144 0.349 0.451
Hf8 0.130 0.319 0.059
Hf9 0.232 0.074 0.759
Hf10 0.768 0.926 0.241
Hf11 0.870 0.681 0.941
Hf12 0.856 0.651 0.549
Ge1 0.500 0.500 0.500
Ge2 0.000 0.000 0.000
Sb1 0.581 0.859 0.741
Sb2 0.500 0.500 0.000
Sb3 0.419 0.141 0.259
Sb4 0.081 0.641 0.241
Sb5 0.000 0.000 0.500
Sb6 0.919 0.359 0.759
```

Record 5
An optimized crystal structure of HgSbS2F, computed with GGA-PBE.

Summary:
- E_form (uncorrected): 246 meV/atom
- VASP energy: -13.3 eV/cell

CIF file:
```
data_HgSbS2F
_symmetry_space_group_name_H-M 'P 1'
_symmetry_Int_Tables_number 1
_symmetry_space_group_name_Hall 'P 1'
_cell_length_a 4.938
_cell_length_b 5.889
_cell_length_c 4.938
_cell_angle_alpha 90.00
_cell_angle_beta 90.00
_cell_angle_gamma 90.00
loop_
_atom_site_label
_atom_site_fract_x
_atom_site_fract_y
_atom_site_fract_z
Sb1 0.000 0.000 0.000
S1 0.000 0.000 0.500
S2 0.500 0.000 0.000
Hg1 0.000 0.500 0.000
F1 0.500 0.500 0.500
```

Record 6
An optimized crystal structure of Tb3CeSb4, computed with GGA-PBE.

Summary:
- E_form (uncorrected): -1123 meV/atom
- VASP energy: -45.3 eV/cell

CIF file:
```
data_Tb3CeSb4
_symmetry_space_group_name_H-M 'P 1'
_symmetry_Int_Tables_number 1
_symmetry_space_group_name_Hall 'P 1'
_cell_length_a 4.425
_cell_length_b 7.663
_cell_length_c 7.663
_cell_angle_alpha 109.39
_cell_angle_beta 90.00
_cell_angle_gamma 90.00
loop_
_atom_site_label
_atom_site_fract_x
_atom_site_fract_y
_atom_site_fract_z
Tb1 0.000 0.000 0.500
Tb2 0.500 0.500 0.500
Tb3 0.000 0.500 0.000
Ce1 0.500 0.000 0.000
Sb1 0.000 0.253 0.253
Sb2 0.500 0.749 0.251
Sb3 0.000 0.747 0.747
Sb4 0.500 0.251 0.749
```

Record 7
An optimized crystal structure of Tb2YPb3, computed with GGA-PBE.

Summary:
- VASP energy: -59.9 eV/cell
- DFT formation energy: -0.52 eV per atom

CIF file:
```
data_Tb2YPb3
_symmetry_space_group_name_H-M 'P 1'
_symmetry_Int_Tables_number 1
_symmetry_space_group_name_Hall 'P 1'
_cell_length_a 6.422
_cell_length_b 6.421
_cell_length_c 9.078
_cell_angle_alpha 110.71
_cell_angle_beta 100.18
_cell_angle_gamma 90.00
loop_
_atom_site_label
_atom_site_fract_x
_atom_site_fract_y
_atom_site_fract_z
Tb1 0.584 0.542 0.333
Tb2 0.084 0.792 0.333
Tb3 0.916 0.208 0.667
Tb4 0.416 0.458 0.667
Y1 0.750 0.125 0.000
Y2 0.250 0.875 0.000
Pb1 0.250 0.376 0.000
Pb2 0.750 0.624 0.000
Pb3 0.083 0.291 0.333
Pb4 0.417 0.958 0.667
Pb5 0.583 0.042 0.333
Pb6 0.917 0.709 0.667
```

Record 8
An optimized crystal structure of Pr3Ho8Er2, computed with GGA-PBE.

Summary:
- VASP energy: -58.0 eV/cell
- DFT formation energy: 0.16 eV per atom
- Energy above the most stable polymorph in this dataset: 0.75 kcal/mol of atoms

CIF file:
```
data_Pr3Ho8Er2
_symmetry_space_group_name_H-M 'P 1'
_symmetry_Int_Tables_number 1
_symmetry_space_group_name_Hall 'P 1'
_cell_length_a 5.241
_cell_length_b 8.133
_cell_length_c 11.554
_cell_angle_alpha 118.58
_cell_angle_beta 90.00
_cell_angle_gamma 90.00
loop_
_atom_site_label
_atom_site_fract_x
_atom_site_fract_y
_atom_site_fract_z
Pr1 0.500 0.000 0.000
Pr2 0.000 0.345 0.070
Pr3 0.000 0.655 0.930
Ho1 0.000 0.769 0.384
Ho2 0.000 0.231 0.616
Ho3 0.000 0.077 0.237
Ho4 0.000 0.923 0.763
Ho5 0.500 0.566 0.677
Ho6 0.500 0.311 0.851
Ho7 0.500 0.689 0.149
Ho8 0.500 0.434 0.323
Er1 0.500 0.086 0.409
Er2 0.500 0.914 0.591
```

Record 9
An optimized crystal structure of Cd5Ge3Br16, computed with GGA-PBE.

Summary:
- E_form (uncorrected): -722 meV/atom
- VASP energy: -62.5 eV/cell

CIF file:
```
data_Cd5Ge3Br16
_symmetry_space_group_name_H-M 'P 1'
_symmetry_Int_Tables_number 1
_symmetry_space_group_name_Hall 'P 1'
_cell_length_a 8.192
_cell_length_b 8.192
_cell_length_c 12.979
_cell_angle_alpha 89.83
_cell_angle_beta 89.83
_cell_angle_gamma 59.80
loop_
_atom_site_label
_atom_site_fract_x
_atom_site_fract_y
_atom_site_fract_z
Cd1 0.338 0.831 0.785
Cd2 0.666 0.666 0.521
Cd3 0.831 0.338 0.785
Cd4 0.169 0.169 0.285
Cd5 0.334 0.334 0.019
Ge1 0.829 0.829 0.783
Ge2 0.170 0.660 0.284
Ge3 0.660 0.170 0.284
Br1 0.329 0.836 0.407
Br2 0.510 0.510 0.656
Br3 0.665 0.665 0.907
Br4 0.003 0.003 0.671
Br5 0.003 0.003 0.169
Br6 0.836 0.329 0.407
Br7 0.510 0.983 0.657
Br8 0.983 0.510 0.657
Br9 0.163 0.163 0.907
Br10 0.833 0.833 0.407
Br11 0.020 0.492 0.155
Br12 0.492 0.020 0.155
Br13 0.331 0.331 0.408
Br14 0.166 0.670 0.907
Br15 0.492 0.492 0.157
Br16 0.670 0.166 0.907
```

Record 10
An optimized crystal structure of Ti6CoAu2, computed with GGA-PBE.

Summary:
- VASP energy: -63.4 eV/cell
- DFT formation energy: -0.26 eV per atom

CIF file:
```
data_Ti6CoAu2
_symmetry_space_group_name_H-M 'P 1'
_symmetry_Int_Tables_number 1
_symmetry_space_group_name_Hall 'P 1'
_cell_length_a 3.065
_cell_length_b 7.285
_cell_length_c 7.618
_cell_angle_alpha 118.56
_cell_angle_beta 90.00
_cell_angle_gamma 90.00
loop_
_atom_site_label
_atom_site_fract_x
_atom_site_fract_y
_atom_site_fract_z
Ti1 0.500 0.582 0.000
Ti2 0.500 0.384 0.363
Ti3 0.500 0.021 0.637
Ti4 0.000 0.240 0.000
Ti5 0.000 0.760 0.749
Ti6 0.000 0.011 0.251
Co1 0.500 0.969 0.000
Au1 0.000 0.346 0.659
Au2 0.000 0.687 0.341
```

Record 11
An optimized crystal structure of PrCdAsO5, computed with GGA-PBE.

Summary:
- E_form (uncorrected): -1888 meV/atom
- VASP energy: -100.5 eV/cell

CIF file:
```
data_PrCdAsO5
_symmetry_space_group_name_H-M 'P 1'
_symmetry_Int_Tables_number 1
_symmetry_space_group_name_Hall 'P 1'
_cell_length_a 6.300
_cell_length_b 6.300
_cell_length_c 8.429
_cell_angle_alpha 108.88
_cell_angle_beta 108.88
_cell_angle_gamma 94.74
loop_
_atom_site_label
_atom_site_fract_x
_atom_site_fract_y
_atom_site_fract_z
Pr1 0.000 0.000 0.500
Pr2 0.000 0.000 0.000
Cd1 0.324 0.676 0.250
Cd2 0.676 0.324 0.750
As1 0.646 0.354 0.250
As2 0.354 0.646 0.750
O1 0.103 0.897 0.250
O2 0.897 0.103 0.750
O3 0.774 0.274 0.095
O4 0.226 0.726 0.905
O5 0.726 0.226 0.405
O6 0.274 0.774 0.595
O7 0.697 0.652 0.354
O8 0.303 0.348 0.646
O9 0.348 0.303 0.146
O10 0.652 0.697 0.854
```

Record 12
An optimized crystal structure of TiFeSCl2, computed with GGA-PBE.

Summary:
- E_form (uncorrected): -246 meV/atom
- VASP energy: -25.4 eV/cell
- Energy above the most stable polymorph in this dataset: 0.00 kcal/mol of atoms

CIF file:
```
data_TiFeSCl2
_symmetry_space_group_name_H-M 'P 1'
_symmetry_Int_Tables_number 1
_symmetry_space_group_name_Hall 'P 1'
_cell_length_a 4.790
_cell_length_b 4.790
_cell_length_c 4.803
_cell_angle_alpha 90.00
_cell_angle_beta 90.00
_cell_angle_gamma 90.00
loop_
_atom_site_label
_atom_site_fract_x
_atom_site_fract_y
_atom_site_fract_z
S1 0.000 0.000 0.500
Cl1 0.000 0.500 0.000
Cl2 0.500 0.000 0.000
Fe1 0.500 0.500 0.500
Ti1 0.000 0.000 0.000
```

What did the eleventh record say?
An optimized crystal structure of PrCdAsO5, computed with GGA-PBE.

Summary:
- E_form (uncorrected): -1888 meV/atom
- VASP energy: -100.5 eV/cell

CIF file:
```
data_PrCdAsO5
_symmetry_space_group_name_H-M 'P 1'
_symmetry_Int_Tables_number 1
_symmetry_space_group_name_Hall 'P 1'
_cell_length_a 6.300
_cell_length_b 6.300
_cell_length_c 8.429
_cell_angle_alpha 108.88
_cell_angle_beta 108.88
_cell_angle_gamma 94.74
loop_
_atom_site_label
_atom_site_fract_x
_atom_site_fract_y
_atom_site_fract_z
Pr1 0.000 0.000 0.500
Pr2 0.000 0.000 0.000
Cd1 0.324 0.676 0.250
Cd2 0.676 0.324 0.750
As1 0.646 0.354 0.250
As2 0.354 0.646 0.750
O1 0.103 0.897 0.250
O2 0.897 0.103 0.750
O3 0.774 0.274 0.095
O4 0.226 0.726 0.905
O5 0.726 0.226 0.405
O6 0.274 0.774 0.595
O7 0.697 0.652 0.354
O8 0.303 0.348 0.646
O9 0.348 0.303 0.146
O10 0.652 0.697 0.854
```